VASP calculation (SCAN) on ZnIr2Se at its PBEsol-relaxed geometry.

## Properties
Its space group is P4/mmm (123). Its spin magnetization is 0.0000 μB/atom. As for the energy above the most stable polymorph in this dataset: 0.016 eV per atom. The uncorrected formation energy comes out at 0.269 eV/atom.

a b c (Å): 3.0074 3.0074 6.3720
angles (deg): 90.00 90.00 90.00
Positions (direct):
Ir (0.0000, 0.0000, 0.7427)
Ir (0.0000, 0.0000, 0.2573)
Se (0.5000, 0.5000, 0.0000)
Zn (0.5000, 0.5000, 0.5000)

=====

VASP calculation (SCAN) on ZnIrSe2 at its PBEsol-relaxed geometry.

## Properties
Its space group is P4/mmm (123). Its spin magnetization is 0.0000 μB/atom. The uncorrected formation energy comes out at 0.405 eV/atom.

a b c (Å): 2.9595 4.6565 4.6565
angles (deg): 90.00 90.00 90.00
Positions (direct):
Ir (0.5000, 0.0000, 0.0000)
Se (0.0000, 0.0000, 0.5000)
Se (0.0000, 0.5000, 0.0000)
Zn (0.5000, 0.5000, 0.5000)

=====

VASP calculation (SCAN) on ZrIrSe2 at its PBEsol-relaxed geometry.

## Properties
Its space group is P4/mmm (123). Its spin magnetization is 0.0000 μB/atom. As for the energy above the most stable polymorph in this dataset: 0.000 eV per atom. The uncorrected formation energy comes out at -0.495 eV/atom.

a b c (Å): 3.4065 4.4089 4.4089
angles (deg): 90.00 90.00 90.00
Positions (direct):
Ir (0.5000, 0.0000, 0.0000)
Se (0.0000, 0.0000, 0.5000)
Se (0.0000, 0.5000, 0.0000)
Zr (0.5000, 0.5000, 0.5000)

=====

VASP calculation (SCAN) on Zr2IrSe at its PBEsol-relaxed geometry.

## Properties
Its space group is Imm2 (44). Its spin magnetization is 0.0000 μB/atom. The uncorrected formation energy comes out at -0.783 eV/atom.

a b c (Å): 3.4288 4.2553 5.6560
angles (deg): 112.10 107.64 90.00
Positions (direct):
Ir (0.5025, 0.5025, 0.0049)
Se (0.2291, 0.7291, 0.4581)
Zr (0.0028, 0.0028, 0.0056)
Zr (0.7657, 0.2657, 0.5314)

=====

VASP calculation (SCAN) on ZrIrSe2 at its PBEsol-relaxed geometry.

## Properties
Its space group is F-43m (216). Its spin magnetization is 0.0000 μB/atom. As for the energy above the most stable polymorph in this dataset: 0.451 eV per atom. The uncorrected formation energy comes out at -0.044 eV/atom.

a b c (Å): 4.6533 4.6533 4.6533
angles (deg): 60.00 60.00 60.00
Positions (direct):
Ir (0.5000, 0.5000, 0.5000)
Se (0.0000, 0.0000, 0.0000)
Se (0.7500, 0.7500, 0.7500)
Zr (0.2500, 0.2500, 0.2500)

=====

VASP calculation (SCAN) on Zr2IrSe at its PBEsol-relaxed geometry.

## Properties
Its space group is R3m (160). Its spin magnetization is 0.1785 μB/atom. The uncorrected formation energy comes out at -0.354 eV/atom.

a b c (Å): 3.4161 3.4161 8.4913
angles (deg): 78.40 78.40 60.00
Positions (direct):
Ir (0.4957, 0.4957, 0.5129)
Se (0.2509, 0.2509, 0.2474)
Zr (0.9895, 0.9895, 0.0315)
Zr (0.7639, 0.7639, 0.7083)

=====

VASP calculation (SCAN) on ZrIr4Se at its PBEsol-relaxed geometry.

## Properties
Its space group is F-43m (216). Its spin magnetization is 0.0000 μB/atom. The uncorrected formation energy comes out at 0.006 eV/atom.

a b c (Å): 5.1902 5.1902 5.1902
angles (deg): 60.00 60.00 60.00
Positions (direct):
Ir (0.6251, 0.6251, 0.1247)
Ir (0.1247, 0.6251, 0.6251)
Ir (0.6251, 0.1247, 0.6251)
Ir (0.6251, 0.6251, 0.6251)
Se (0.2500, 0.2500, 0.2500)
Zr (0.0000, 0.0000, 0.0000)

=====

VASP calculation (SCAN) on Si3Ir at its PBEsol-relaxed geometry.

## Properties
Its space group is Pmm2 (25). Its spin magnetization is 0.0000 μB/atom. The uncorrected formation energy comes out at 0.112 eV/atom.

a b c (Å): 2.9105 4.0272 4.8242
angles (deg): 90.00 90.00 90.00
Positions (direct):
Si (0.5000, 0.4419, 0.0000)
Si (0.5000, 0.2289, 0.5000)
Si (0.0000, 0.7407, 0.5000)
Ir (0.0000, 0.9218, 0.0000)

=====

VASP calculation (SCAN) on Si2Ir at its PBEsol-relaxed geometry.

## Properties
Its space group is P-3m1 (164). Its spin magnetization is 0.0000 μB/atom. The uncorrected formation energy comes out at -0.197 eV/atom.

a b c (Å): 2.9720 2.9720 5.4794
angles (deg): 90.00 90.00 120.00
Positions (direct):
Si (0.3333, 0.6667, 0.3262)
Si (0.6667, 0.3333, 0.6738)
Ir (0.0000, 0.0000, 0.0000)

=====

VASP calculation (SCAN) on Si2Ir at its PBEsol-relaxed geometry.

## Properties
Its space group is Cm (8). Its spin magnetization is 0.0000 μB/atom. The uncorrected formation energy comes out at -0.415 eV/atom.

a b c (Å): 3.7958 4.4103 5.9448
angles (deg): 97.23 90.00 115.49
Positions (direct):
Ir (0.0263, 0.0526, 0.9477)
Ir (0.5719, 0.1438, 0.3306)
Si (0.4315, 0.8630, 0.6964)
Si (0.2717, 0.5434, 0.2664)
Si (0.1323, 0.2646, 0.5939)
Si (0.7329, 0.4658, 0.9983)

=====

VASP calculation (SCAN) on Si2Ir3 at its PBEsol-relaxed geometry.

## Properties
Its space group is P-3m1 (164). Its spin magnetization is 0.0000 μB/atom. As for the energy above the most stable polymorph in this dataset: 0.000 eV per atom. The uncorrected formation energy comes out at -0.761 eV/atom.

a b c (Å): 3.9785 3.9785 5.1175
angles (deg): 90.00 90.00 120.00
Positions (direct):
Si (0.3333, 0.6667, 0.7978)
Si (0.6667, 0.3333, 0.2022)
Ir (0.0000, 0.0000, 0.0000)
Ir (0.3333, 0.6667, 0.3269)
Ir (0.6667, 0.3333, 0.6731)

=====

VASP calculation (SCAN) on Si3Ir at its PBEsol-relaxed geometry.

## Properties
Its space group is Immm (71). Its spin magnetization is 0.0000 μB/atom. The uncorrected formation energy comes out at 0.077 eV/atom.

a b c (Å): 2.7122 4.0480 5.9758
angles (deg): 109.80 103.12 90.00
Positions (direct):
Si (0.7043, 0.7043, 0.4085)
Si (0.2957, 0.2957, 0.5915)
Si (0.5000, 0.0000, 0.0000)
Ir (0.0000, 0.5000, 0.0000)